No. 1
Below is crystalline Tb5NdHo5 at its relaxed geometry, with properties calculated at the PBE level.

Computed properties:
The value obtained for the electronic total energy is -47.34 eV/f.u. The energy of formation from the pure elements is 0.316 eV/atom. For the density, the calculation gives 7929 kg/m3.

a = 6.0647 Å, b = 6.0647 Å, c = 11.5944 Å
α = 90.00°, β = 90.00°, γ = 120.00°
Space group P-6m2 (No. 187)
Symmetry-distinct sites (fractional):
1 Tb 0.0000 0.0000 0.0000 (multiplicity 1)
2 Tb 0.3333 0.6667 0.3240 (multiplicity 2)
3 Tb 0.6667 0.3333 0.1572 (multiplicity 2)
4 Nd 0.3333 0.6667 0.0000 (multiplicity 1)
5 Ho 0.0000 0.0000 0.2653 (multiplicity 2)
6 Ho 0.3345 0.1673 0.5000 (multiplicity 3)

No. 2
Below is crystalline Tb7NdHo3 at its relaxed geometry, with properties calculated at the PBE level.

Computed properties:
The value obtained for the electronic total energy is -48.79 eV/f.u. The energy of formation from the pure elements is 0.193 eV/atom. For the density, the calculation gives 7804 kg/m3.

a = 7.0730 Å, b = 7.0730 Å, c = 8.6019 Å
α = 90.00°, β = 90.00°, γ = 120.00°
Space group P3m1 (No. 156)
Symmetry-distinct sites (fractional):
1 Tb 0.0000 0.0000 0.0000 (multiplicity 1)
2 Tb 0.1654 0.3308 0.3304 (multiplicity 3)
3 Tb 0.5011 0.0023 0.9943 (multiplicity 3)
4 Nd 0.6667 0.3333 0.3244 (multiplicity 1)
5 Ho 0.3323 0.1662 0.6639 (multiplicity 3)